Entry 1:
Below is crystalline Li2VF7 at its relaxed geometry, with properties calculated at the PBEsol level.

Results
SG = Pnma (62)
uncorrected formation energy = -271 kJ/mol of atoms
N(E_F) = 0.00 states/eV per atom
final energy = -0.406 Ry/atom

Structure (CIF):
```
data_Li2VF7
_cell_length_a 6.820
_cell_length_b 6.726
_cell_length_c 10.067
_cell_angle_alpha 90.00
_cell_angle_beta 90.00
_cell_angle_gamma 90.00
_space_group_name_H-M_alt 'P 1'
_space_group_IT_number 1
_space_group_name_Hall 'P 1'
loop_
_atom_site_label
_atom_site_fract_x
_atom_site_fract_y
_atom_site_fract_z
_atom_site_occupancy
Li1 0.143 0.250 0.236 1
Li2 0.176 0.750 0.998 1
Li3 0.324 0.250 0.498 1
Li4 0.357 0.750 0.736 1
Li5 0.643 0.250 0.264 1
Li6 0.676 0.750 0.502 1
Li7 0.824 0.250 0.002 1
Li8 0.857 0.750 0.764 1
V1 0.202 0.750 0.436 1
V2 0.298 0.250 0.936 1
V3 0.702 0.750 0.064 1
V4 0.798 0.250 0.564 1
F1 0.038 0.250 0.491 1
F2 0.049 0.250 0.882 1
F3 0.115 0.750 0.823 1
F4 0.136 0.563 0.323 1
F5 0.136 0.937 0.323 1
F6 0.227 0.063 0.057 1
F7 0.227 0.437 0.057 1
F8 0.273 0.563 0.557 1
F9 0.273 0.937 0.557 1
F10 0.364 0.063 0.823 1
F11 0.364 0.437 0.823 1
F12 0.385 0.250 0.323 1
F13 0.451 0.750 0.382 1
F14 0.462 0.750 0.991 1
F15 0.538 0.250 0.009 1
F16 0.549 0.250 0.618 1
F17 0.615 0.750 0.677 1
F18 0.636 0.563 0.177 1
F19 0.636 0.937 0.177 1
F20 0.727 0.063 0.443 1
F21 0.727 0.437 0.443 1
F22 0.773 0.563 0.943 1
F23 0.773 0.937 0.943 1
F24 0.864 0.063 0.677 1
F25 0.864 0.437 0.677 1
F26 0.885 0.250 0.177 1
F27 0.951 0.750 0.118 1
F28 0.962 0.750 0.509 1
```

=====

Entry 2:
Below is crystalline LiV6F13 at its relaxed geometry, with properties calculated at the PBEsol level.

Results
SG = P-1 (2)
uncorrected formation energy = -228 kJ/mol of atoms
final energy = -0.485 Ry/atom

Structure (CIF):
```
data_LiV6F13
_cell_length_a 7.874
_cell_length_b 7.900
_cell_length_c 9.814
_cell_angle_alpha 75.73
_cell_angle_beta 75.36
_cell_angle_gamma 62.67
_space_group_name_H-M_alt 'P 1'
_space_group_IT_number 1
_space_group_name_Hall 'P 1'
loop_
_atom_site_label
_atom_site_fract_x
_atom_site_fract_y
_atom_site_fract_z
_atom_site_occupancy
Li1 0.229 0.171 0.057 1
Li2 0.771 0.829 0.943 1
V1 0.061 0.558 0.241 1
V2 0.152 0.082 0.503 1
V3 0.279 0.634 0.501 1
V4 0.387 0.168 0.745 1
V5 0.417 0.717 0.023 1
V6 0.492 0.259 0.276 1
V7 0.508 0.741 0.724 1
V8 0.583 0.283 0.977 1
V9 0.613 0.832 0.255 1
V10 0.721 0.366 0.499 1
V11 0.848 0.918 0.497 1
V12 0.939 0.442 0.759 1
F1 0.012 0.662 0.622 1
F2 0.119 0.901 0.397 1
F3 0.154 0.752 0.122 1
F4 0.159 0.331 0.882 1
F5 0.163 0.245 0.634 1
F6 0.264 0.473 0.373 1
F7 0.292 0.813 0.616 1
F8 0.300 0.328 0.132 1
F9 0.320 0.941 0.859 1
F10 0.408 0.916 0.127 1
F11 0.417 0.040 0.382 1
F12 0.428 0.553 0.878 1
F13 0.456 0.384 0.616 1
F14 0.544 0.616 0.384 1
F15 0.572 0.447 0.122 1
F16 0.583 0.960 0.618 1
F17 0.592 0.084 0.873 1
F18 0.680 0.059 0.141 1
F19 0.700 0.672 0.868 1
F20 0.708 0.187 0.384 1
F21 0.736 0.527 0.627 1
F22 0.837 0.755 0.366 1
F23 0.841 0.669 0.118 1
F24 0.846 0.248 0.878 1
F25 0.881 0.099 0.603 1
F26 0.988 0.338 0.378 1
```

=====

Entry 3:
Below is crystalline Li4VF7 at its relaxed geometry, with properties calculated at the PBEsol level.

Results
SG = F-43m (216)
uncorrected formation energy = -281 kJ/mol of atoms
N(E_F) = 0.93 states/eV per atom
final energy = -0.404 Ry/atom

Structure (CIF):
```
data_Li4VF7
_cell_length_a 5.857
_cell_length_b 5.857
_cell_length_c 5.857
_cell_angle_alpha 60.00
_cell_angle_beta 60.00
_cell_angle_gamma 60.00
_space_group_name_H-M_alt 'P 1'
_space_group_IT_number 1
_space_group_name_Hall 'P 1'
loop_
_atom_site_label
_atom_site_fract_x
_atom_site_fract_y
_atom_site_fract_z
_atom_site_occupancy
Li1 0.124 0.124 0.124 1
Li2 0.124 0.124 0.628 1
Li3 0.124 0.628 0.124 1
Li4 0.628 0.124 0.124 1
V1 0.750 0.750 0.750 1
F1 0.000 0.000 0.000 1
F2 0.514 0.514 0.986 1
F3 0.514 0.986 0.514 1
F4 0.514 0.986 0.986 1
F5 0.986 0.514 0.514 1
F6 0.986 0.514 0.986 1
F7 0.986 0.986 0.514 1
```

=====

Entry 4:
Below is crystalline LiVF5 at its relaxed geometry, with properties calculated at the PBEsol level.

Results
SG = Pnna (52)
excess energy over the best structure of this formula in the dataset = 68.4 meV per atom
uncorrected formation energy = -273 kJ/mol of atoms
N(E_F) = 0.43 states/eV per atom
final energy = -0.431 Ry/atom

Structure (CIF):
```
data_LiVF5
_cell_length_a 8.762
_cell_length_b 6.243
_cell_length_c 6.031
_cell_angle_alpha 90.00
_cell_angle_beta 90.00
_cell_angle_gamma 90.00
_space_group_name_H-M_alt 'P 1'
_space_group_IT_number 1
_space_group_name_Hall 'P 1'
loop_
_atom_site_label
_atom_site_fract_x
_atom_site_fract_y
_atom_site_fract_z
_atom_site_occupancy
Li1 0.114 0.250 0.250 1
Li2 0.386 0.750 0.250 1
Li3 0.614 0.250 0.750 1
Li4 0.886 0.750 0.750 1
V1 0.250 0.000 0.671 1
V2 0.250 0.500 0.829 1
V3 0.750 0.000 0.329 1
V4 0.750 0.500 0.171 1
F1 0.046 0.542 0.794 1
F2 0.046 0.958 0.706 1
F3 0.225 0.191 0.927 1
F4 0.225 0.309 0.573 1
F5 0.250 0.000 0.372 1
F6 0.250 0.500 0.128 1
F7 0.275 0.691 0.573 1
F8 0.275 0.809 0.927 1
F9 0.454 0.042 0.706 1
F10 0.454 0.458 0.794 1
F11 0.546 0.542 0.206 1
F12 0.546 0.958 0.294 1
F13 0.725 0.191 0.073 1
F14 0.725 0.309 0.427 1
F15 0.750 0.000 0.628 1
F16 0.750 0.500 0.872 1
F17 0.775 0.691 0.427 1
F18 0.775 0.809 0.073 1
F19 0.954 0.042 0.294 1
F20 0.954 0.458 0.206 1
```

=====

Across the entries above, ρ takes the values 2.845 3.583 2.474 3.078 Mg/m³, respectively.